## 1
Computed, not measured: an optimized crystal structure of AgHgBr2 at the PBE level of DFT.

```
data_AgHgBr2
_cell_length_a 13.891
_cell_length_b 4.060
_cell_length_c 4.059
_cell_angle_alpha 90.00
_cell_angle_beta 106.96
_cell_angle_gamma 90.00
_symmetry_space_group_name_H-M 'C 1 m 1'
_symmetry_Int_Tables_number 8
loop_
_symmetry_equiv_pos_as_xyz
'x,y,z'
'x,-y,z'
'x+1/2,y+1/2,z'
'x+1/2,-y+1/2,z'
loop_
_atom_site_label
_atom_site_type_symbol
_atom_site_fract_x
_atom_site_fract_y
_atom_site_fract_z
Ag1 Ag 0.000 0.000 0.000
Hg1 Hg 0.289 0.500 0.786
Br1 Br 0.204 0.000 0.203
Br2 Br 0.481 0.000 0.480
```

M_tot = 0.0 μB/cell



## 2
Computed, not measured: an optimized crystal structure of AgHgBr2 at the PBE level of DFT.

```
data_AgHgBr2
_cell_length_a 6.589
_cell_length_b 6.589
_cell_length_c 13.149
_cell_angle_alpha 90.00
_cell_angle_beta 90.00
_cell_angle_gamma 90.00
_symmetry_space_group_name_H-M 'I -4 2 d'
_symmetry_Int_Tables_number 122
_symmetry_space_group_name_Hall 'I -4 2bw'
loop_
_atom_site_label
_atom_site_type_symbol
_atom_site_fract_x
_atom_site_fract_y
_atom_site_fract_z
Ag1 Ag 0.000 0.000 0.000
Hg1 Hg 0.000 0.000 0.500
Br1 Br 0.219 0.250 0.125
```

M_tot = 0.0 μB/cell



## 3
Computed, not measured: an optimized crystal structure of AgHgBr2 at the PBE level of DFT.

```
data_AgHgBr2
_cell_length_a 4.015
_cell_length_b 4.135
_cell_length_c 7.305
_cell_angle_alpha 90.00
_cell_angle_beta 90.00
_cell_angle_gamma 90.00
_symmetry_space_group_name_H-M 'P m m m'
_symmetry_Int_Tables_number 47
loop_
_symmetry_equiv_pos_as_xyz
'x,y,z'
'-x,-y,-z'
'-x,-y,z'
'x,y,-z'
'x,-y,-z'
'-x,y,z'
'-x,y,-z'
'x,-y,z'
loop_
_atom_site_label
_atom_site_type_symbol
_atom_site_fract_x
_atom_site_fract_y
_atom_site_fract_z
Ag1 Ag 0.000 0.000 0.000
Hg1 Hg 0.000 0.500 0.500
Br1 Br 0.500 0.000 0.500
Br2 Br 0.500 0.500 0.000
```

M_tot = 0.0 μB/cell



## 4
Computed, not measured: an optimized crystal structure of AgHgBr2 at the PBE level of DFT.

```
data_AgHgBr2
_cell_length_a 7.415
_cell_length_b 7.415
_cell_length_c 7.415
_cell_angle_alpha 90.00
_cell_angle_beta 90.00
_cell_angle_gamma 90.00
_symmetry_space_group_name_H-M 'F -4 3 m'
_symmetry_Int_Tables_number 216
_symmetry_space_group_name_Hall 'F -4 2 3'
loop_
_atom_site_label
_atom_site_type_symbol
_atom_site_fract_x
_atom_site_fract_y
_atom_site_fract_z
Ag1 Ag 0.000 0.000 0.000
Hg1 Hg 0.250 0.250 0.250
Br1 Br 0.000 0.000 0.500
Br2 Br 0.250 0.250 0.750
```

M_tot = 0.0 μB/cell



Which structure is most stable, and how do the rest compare? From most to least stable: 1, 2, 3, 4.



## 1
Computed, not measured: an optimized crystal structure of AgHgBr2 at the PBE level of DFT.

```
data_AgHgBr2
_cell_length_a 4.0704
_cell_length_b 4.0704
_cell_length_c 26.8299
_cell_angle_alpha 90.00
_cell_angle_beta 90.00
_cell_angle_gamma 120.00
_symmetry_space_group_name_H-M 'R -3 m'
_symmetry_Int_Tables_number 166
_symmetry_space_group_name_Hall '-R 3 2"'
loop_
_atom_site_label
_atom_site_type_symbol
_atom_site_fract_x
_atom_site_fract_y
_atom_site_fract_z
Ag1 Ag 0.0000 0.0000 0.0000
Hg1 Hg 0.0000 0.0000 0.5000
Br1 Br 0.0000 0.0000 0.3932
```

M_tot = 0.0 μB/cell



## 2
Computed, not measured: an optimized crystal structure of AgHgBr2 at the PBE level of DFT.

```
data_AgHgBr2
_cell_length_a 4.056
_cell_length_b 7.442
_cell_length_c 8.198
_cell_angle_alpha 90.00
_cell_angle_beta 90.00
_cell_angle_gamma 90.00
_symmetry_space_group_name_H-M 'C m m m'
_symmetry_Int_Tables_number 65
_symmetry_space_group_name_Hall '-C 2 2'
loop_
_atom_site_label
_atom_site_type_symbol
_atom_site_fract_x
_atom_site_fract_y
_atom_site_fract_z
Ag1 Ag 0.000 0.000 0.000
Hg1 Hg 0.000 0.000 0.500
Br1 Br 0.000 0.500 0.220
```

M_tot = 0.0 μB/cell



Which structure is most stable, and how do the rest compare? From most to least stable: 2, 1.